# ReMoSe2 PBE optimized geometry
data_ReMoSe2
_chemical_formula_sum 'Re4 Mo4 Se8'
_cell_length_a 5.632
_cell_length_b 5.632
_cell_length_c 11.188
_cell_angle_alpha 90.00
_cell_angle_beta 90.00
_cell_angle_gamma 90.00
_space_group_name_H-M_alt 'I -4 2 d'
_space_group_IT_number 122
_space_group_name_Hall 'I -4 2bw'
loop_
_atom_site_label
_atom_site_type_symbol
_atom_site_fract_x
_atom_site_fract_y
_atom_site_fract_z
_atom_site_occupancy
Re1 Re 0.000 0.000 0.000 1
Mo1 Mo 0.000 0.000 0.500 1
Se1 Se 0.239 0.250 0.125 1
# Raw total energy ... -110.81 eV for the cell shown
# Formation energy without anion corrections ... 0.637 eV/atom
# Calculated volume ... 22.18 Å³ per atom
# Polymorph energy (0 for the lowest one) ... 0.713 eV/atom